A plane-wave DFT calculation with GGA-PBE was carried out for crystalline HfNiAsPt2 at its relaxed geometry.

Structure (extended XYZ):
```
5
Lattice="-4.071 -0.136 -2.742 2.824 -0.529 -4.166 -0.175 -4.882 0.501" Properties=species:S:1:pos:R:3 pbc="T T T"
Ni -0.711 -2.773 -3.204
As 1.412 -0.264 -2.083
Hf 0.000 0.000 0.000
Pt -0.087 -2.441 0.251
Pt -2.036 -0.068 -1.371
```

Computed properties:
Calculated formation energy = 0.983 eV per atom
Space group = No. 123